[1]
# NaTl2TcO

A relaxed structure of NaTl2TcO (PBE, Alexandria).

Cell: 5.5040 5.0554 5.5040 Å, 90.00 90.00 90.00°
Each line ends with the local moment (μB).
Atoms (fractional coordinates):
Na  0.0000  0.0000  0.0000  -0.01
Tl  0.0000  0.0000  0.5000  -0.06
Tl  0.5000  0.0000  0.0000  -0.06
Tc  0.0000  0.5000  0.0000  3.20
O  0.5000  0.5000  0.5000  0.75

Properties
- Magnetic moment: 4.23 μB/cell
- Energy relative to the elements, uncorrected: 1554 meV/atom

[2]
# Pm3NdAu2

A relaxed structure of Pm3NdAu2 (PBE, Alexandria).

Cell: 7.2748 7.4971 8.8210 Å, 115.15 114.35 90.00°
Atoms (fractional coordinates):
Pm  0.5000  0.2500  0.0000
Pm  0.5000  0.7500  0.0000
Pm  0.7675  0.0175  0.5351
Pm  0.2325  0.4825  0.4649
Pm  0.2325  0.9825  0.4649
Pm  0.7675  0.5175  0.5351
Nd  0.0000  0.5000  0.0000
Nd  0.0000  0.0000  0.0000
Au  0.5597  0.3579  0.7158
Au  0.8438  0.1421  0.2842
Au  0.1562  0.8579  0.7158
Au  0.4403  0.6421  0.2842

Properties
- Magnetic moment: 0.00 μB/cell
- E above lowest polymorph: 166 meV per atom
- Formation energy: -0.3991 eV/atom

[3]
# BeCrRe

A relaxed structure of BeCrRe (PBE, Alexandria).

Cell: 3.7895 3.7895 3.7895 Å, 60.00 60.00 60.00°
Each line ends with the local moment (μB).
Atoms (fractional coordinates):
Re  0.5000  0.5000  0.5000  -0.48
Be  0.7500  0.7500  0.7500  -0.02
Cr  0.0000  0.0000  0.0000  1.75

Properties
- Magnetic moment: 1.33 μB/cell
- E above lowest polymorph: 748 meV per atom
- Formation energy: 0.5926 eV/atom

[4]
# CsTlCd2Au2

A relaxed structure of CsTlCd2Au2 (PBE, Alexandria).

Cell: 4.9447 4.9447 8.6939 Å, 90.00 90.00 120.00°
Atoms (fractional coordinates):
Cs  0.0000  0.0000  0.0000
Tl  0.0000  0.0000  0.5000
Cd  0.3333  0.6667  0.6818
Cd  0.6667  0.3333  0.3182
Au  0.3333  0.6667  0.3175
Au  0.6667  0.3333  0.6825

Properties
- Magnetic moment: 0.00 μB/cell
- Formation energy: -0.1577 eV/atom

[5]
# Ba2P2Au

A relaxed structure of Ba2P2Au (PBE, Alexandria).

Cell: 6.0030 6.0030 6.2217 Å, 61.16 61.16 90.00°
Each line ends with the local moment (μB).
Atoms (fractional coordinates):
P  0.3817  0.3817  0.2367  0.14
P  0.6183  0.6183  0.7633  0.14
Au  0.0000  0.0000  0.0000  0.00
Ba  0.7500  0.2500  0.5000  0.04
Ba  0.2500  0.7500  0.5000  0.04

Properties
- Magnetic moment: 0.81 μB/cell
- E above lowest polymorph: 268 meV per atom
- Formation energy: -0.6000 eV/atom

[6]
# SrLi2AcSi2

A relaxed structure of SrLi2AcSi2 (PBE, Alexandria).

Cell: 4.6469 4.6469 8.1518 Å, 90.00 90.00 120.00°
Atoms (fractional coordinates):
Sr  0.0000  0.0000  0.5000
Li  0.3333  0.6667  0.7410
Li  0.6667  0.3333  0.2590
Ac  0.0000  0.0000  0.0000
Si  0.3333  0.6667  0.2375
Si  0.6667  0.3333  0.7625

Properties
- Magnetic moment: 0.00 μB/cell
- Energy relative to the elements, uncorrected: -367 meV/atom

[7]
# AcCu2Sb2

A relaxed structure of AcCu2Sb2 (PBE, Alexandria).

Cell: 6.5881 6.5881 7.1977 Å, 103.42 103.42 119.38°
Atoms (fractional coordinates):
Ac  0.8751  0.6249  0.7500
Ac  0.1249  0.3751  0.2500
Cu  0.2784  0.0287  0.5575
Cu  0.5287  0.7784  0.0575
Cu  0.7216  0.9713  0.4425
Cu  0.4713  0.2216  0.9425
Sb  0.1697  0.3303  0.7500
Sb  0.4200  0.0800  0.2500
Sb  0.5800  0.9200  0.7500
Sb  0.8303  0.6697  0.2500

Properties
- Magnetic moment: 0.00 μB/cell
- Energy relative to the elements, uncorrected: -449 meV/atom
- E above lowest polymorph: 61 meV per atom

[8]
# Zr2GaBRh6

A relaxed structure of Zr2GaBRh6 (PBE, Alexandria).

Cell: 6.0944 6.0979 6.0963 Å, 59.99 60.01 90.00°
Atoms (fractional coordinates):
Zr  0.7502  0.2502  0.4995
Zr  0.2498  0.7498  0.5005
Ga  0.0000  0.0000  0.0000
B  0.5000  0.5000  0.0000
Rh  0.2659  0.2659  0.4682
Rh  0.7344  0.7339  0.9999
Rh  0.2659  0.7340  0.0000
Rh  0.7341  0.2660  0.0000
Rh  0.2656  0.2661  0.0001
Rh  0.7341  0.7341  0.5318

Properties
- Magnetic moment: 0.00 μB/cell
- Formation energy: -0.4346 eV/atom

[9]
# ZrInBr2

A relaxed structure of ZrInBr2 (PBE, Alexandria).

Cell: 4.7135 4.6090 4.6090 Å, 90.00 90.00 90.00°
Atoms (fractional coordinates):
Br  0.0000  0.0000  0.0000
Br  0.0000  0.5000  0.5000
Zr  0.5000  0.0000  0.5000
In  0.5000  0.5000  0.0000

Properties
- Magnetic moment: 0.00 μB/cell
- Energy relative to the elements, uncorrected: -50 meV/atom
- E above lowest polymorph: 711 meV per atom

[10]
# Y2Co3

A relaxed structure of Y2Co3 (PBE, Alexandria).

Cell: 5.3640 5.3640 7.6290 Å, 79.92 79.92 120.15°
Each line ends with the local moment (μB).
Atoms (fractional coordinates):
Co  0.7005  0.8699  0.7473  0.77
Co  0.6172  0.4478  0.2527  0.77
Co  0.1978  0.8672  0.7527  0.77
Co  0.6199  0.9505  0.2473  0.77
Co  0.8861  0.8861  0.0000  1.29
Co  0.6361  0.1361  0.5000  1.29
Y  0.6140  0.2785  0.9037  -0.17
Y  0.1822  0.5177  0.0963  -0.17
Y  0.2677  0.4322  0.5963  -0.17
Y  0.0285  0.8640  0.4037  -0.17

Properties
- Magnetic moment: 4.33 μB/cell
- Formation energy: -0.1759 eV/atom

[11]
# MgIn2Rh

A relaxed structure of MgIn2Rh (PBE, Alexandria).

Cell: 5.4515 8.5209 14.0762 Å, 90.00 90.00 90.00°
Atoms (fractional coordinates):
Mg  0.4974  0.2500  0.1366
Mg  0.9974  0.7500  0.3634
Mg  0.5026  0.7500  0.8634
Mg  0.0026  0.2500  0.6366
Mg  0.7927  0.2500  0.3874
Mg  0.2927  0.7500  0.1126
Mg  0.2073  0.7500  0.6126
Mg  0.7073  0.2500  0.8874
In  0.0301  0.0522  0.2105
In  0.5301  0.9478  0.2895
In  0.9699  0.5522  0.7895
In  0.4699  0.4478  0.7105
In  0.9699  0.9478  0.7895
In  0.4699  0.0522  0.7105
In  0.0301  0.4478  0.2105
In  0.5301  0.5522  0.2895
In  0.7416  0.5431  0.0355
In  0.2416  0.4569  0.4645
In  0.2584  0.0431  0.9645
In  0.7584  0.9569  0.5355
In  0.2584  0.4569  0.9645
In  0.7584  0.5431  0.5355
In  0.7416  0.9569  0.0355
In  0.2416  0.0431  0.4645
Rh  0.3107  0.2500  0.3181
Rh  0.8107  0.7500  0.1819
Rh  0.6893  0.7500  0.6819
Rh  0.1893  0.2500  0.8181
Rh  0.9659  0.2500  0.0571
Rh  0.4659  0.7500  0.4429
Rh  0.0341  0.7500  0.9429
Rh  0.5341  0.2500  0.5571

Properties
- Magnetic moment: 0.00 μB/cell
- Formation energy: -0.3492 eV/atom

[12]
# Li2NbNi2

A relaxed structure of Li2NbNi2 (PBE, Alexandria).

Cell: 7.0798 7.0798 2.6065 Å, 90.00 90.00 90.00°
Atoms (fractional coordinates):
Ni  0.3239  0.8239  0.0000
Ni  0.8239  0.6761  0.0000
Ni  0.6761  0.1761  0.0000
Ni  0.1761  0.3239  0.0000
Nb  0.0000  0.0000  0.0000
Nb  0.5000  0.5000  0.0000
Li  0.1231  0.6231  0.5000
Li  0.6231  0.8769  0.5000
Li  0.8769  0.3769  0.5000
Li  0.3769  0.1231  0.5000

Properties
- Magnetic moment: 0.00 μB/cell
- E above lowest polymorph: 95 meV per atom
- Formation energy: 0.1600 eV/atom

[13]
# Tc4Os

A relaxed structure of Tc4Os (PBE, Alexandria).

Cell: 4.6403 4.6403 4.6403 Å, 90.00 90.00 90.00°
Each line ends with the local moment (μB).
Atoms (fractional coordinates):
Os  0.5000  0.5000  0.5000  0.08
Tc  0.0000  0.0000  0.0000  2.67
Tc  0.5000  0.0000  0.5000  -0.25
Tc  0.0000  0.5000  0.5000  -0.25
Tc  0.5000  0.5000  0.0000  -0.25

Properties
- Magnetic moment: 2.27 μB/cell
- E above lowest polymorph: 1926 meV per atom
- Formation energy: 1.9875 eV/atom

[14]
# BaIrRh

A relaxed structure of BaIrRh (PBE, Alexandria).

Cell: 4.2805 4.2805 4.9627 Å, 90.00 90.00 120.00°
Each line ends with the local moment (μB).
Atoms (fractional coordinates):
Ba  0.0000  0.0000  0.5000  -0.01
Ir  0.6667  0.3333  0.0000  0.21
Rh  0.3333  0.6667  0.0000  0.21

Properties
- Magnetic moment: 0.41 μB/cell
- E above lowest polymorph: 0 meV per atom
- Formation energy: 0.0179 eV/atom

[15]
# Ho2ThP3Rh12

A relaxed structure of Ho2ThP3Rh12 (PBE, Alexandria).

Cell: 6.7297 6.7297 6.7297 Å, 83.52 83.52 83.52°
Atoms (fractional coordinates):
Ho  0.6258  0.6258  0.6258
Ho  0.3742  0.3742  0.3742
Th  0.0000  0.0000  0.0000
P  0.5000  0.0000  0.0000
P  0.0000  0.5000  0.0000
P  0.0000  0.0000  0.5000
Rh  0.3686  0.3686  0.9090
Rh  0.8191  0.8191  0.3400
Rh  0.3400  0.8191  0.8191
Rh  0.9090  0.3686  0.3686
Rh  0.8191  0.3400  0.8191
Rh  0.3686  0.9090  0.3686
Rh  0.6314  0.6314  0.0910
Rh  0.1809  0.1809  0.6600
Rh  0.6600  0.1809  0.1809
Rh  0.0910  0.6314  0.6314
Rh  0.1809  0.6600  0.1809
Rh  0.6314  0.0910  0.6314

Properties
- Magnetic moment: 0.00 μB/cell
- Formation energy: -0.4539 eV/atom

[16]
# MnReRh2

A relaxed structure of MnReRh2 (PBE, Alexandria).

Cell: 4.3494 4.3494 4.3494 Å, 60.00 60.00 60.00°
Each line ends with the local moment (μB).
Atoms (fractional coordinates):
Re  0.5000  0.5000  0.5000  -0.82
Mn  0.0000  0.0000  0.0000  3.56
Rh  0.2500  0.2500  0.2500  -0.10
Rh  0.7500  0.7500  0.7500  -0.10

Properties
- Magnetic moment: 2.62 μB/cell
- E above lowest polymorph: 305 meV per atom
- Formation energy: 0.1999 eV/atom

[17]
# BiTe2PbO8

A relaxed structure of BiTe2PbO8 (PBE, Alexandria).

Cell: 5.4305 5.4305 8.5666 Å, 71.52 71.52 60.00°
Atoms (fractional coordinates):
Bi  0.5000  0.5000  0.5000
Te  0.7459  0.7459  0.7624
Te  0.2541  0.2541  0.2376
Pb  0.0000  0.0000  0.0000
O  0.6682  0.6682  0.9954
O  0.3318  0.3318  0.0046
O  0.5673  0.2179  0.3103
O  0.7821  0.4327  0.6897
O  0.0955  0.7821  0.6897
O  0.2179  0.9045  0.3103
O  0.9045  0.5673  0.3103
O  0.4327  0.0955  0.6897

Properties
- Magnetic moment: 0.00 μB/cell
- Energy relative to the elements, uncorrected: -784 meV/atom

[18]
# BaThCd10

A relaxed structure of BaThCd10 (PBE, Alexandria).

Cell: 4.8476 6.0467 10.4564 Å, 90.00 90.00 90.00°
Atoms (fractional coordinates):
Ba  0.0000  0.0000  0.0000
Th  0.0000  0.5000  0.5000
Cd  0.0000  0.0000  0.3403
Cd  0.0000  0.5000  0.8272
Cd  0.0000  0.5000  0.1728
Cd  0.0000  0.0000  0.6597
Cd  0.5000  0.0000  0.5000
Cd  0.5000  0.5000  0.0000
Cd  0.5000  0.2581  0.2632
Cd  0.5000  0.7419  0.7368
Cd  0.5000  0.7419  0.2632
Cd  0.5000  0.2581  0.7368

Properties
- Magnetic moment: 0.00 μB/cell
- Formation energy: -0.1350 eV/atom

[19]
# TlB6Pt12

A relaxed structure of TlB6Pt12 (PBE, Alexandria).

Cell: 6.8999 6.8999 6.8999 Å, 105.77 105.77 105.77°
Atoms (fractional coordinates):
Tl  0.0000  0.0000  0.0000
B  0.5997  0.2217  0.2217
B  0.2217  0.2217  0.5997
B  0.2217  0.5997  0.2217
B  0.7783  0.7783  0.4003
B  0.4003  0.7783  0.7783
B  0.7783  0.4003  0.7783
Pt  0.8753  0.1247  0.5000
Pt  0.8161  0.5300  0.5300
Pt  0.5300  0.5300  0.8161
Pt  0.4700  0.1839  0.4700
Pt  0.4700  0.4700  0.1839
Pt  0.1839  0.4700  0.4700
Pt  0.1247  0.5000  0.8753
Pt  0.5000  0.8753  0.1247
Pt  0.1247  0.8753  0.5000
Pt  0.8753  0.5000  0.1247
Pt  0.5000  0.1247  0.8753
Pt  0.5300  0.8161  0.5300

Properties
- Magnetic moment: 0.00 μB/cell
- Formation energy: -0.1349 eV/atom

[20]
# Mn3PbW

A relaxed structure of Mn3PbW (PBE, Alexandria).

Cell: 4.5855 4.5855 4.5855 Å, 90.00 90.00 90.00°
Each line ends with the local moment (μB).
Atoms (fractional coordinates):
Pb  0.0000  0.0000  0.0000  0.00
Mn  0.0000  0.5000  0.0000  -0.07
Mn  0.0000  0.0000  0.5000  0.11
Mn  0.5000  0.0000  0.0000  -0.09
W  0.5000  0.5000  0.5000  0.06

Properties
- Magnetic moment: 0.04 μB/cell
- E above lowest polymorph: 1596 meV per atom
- Formation energy: 2.8011 eV/atom